(1)
The following is a PBE calculation of a relaxed TaZn2W crystal, from Alexandria.

* E above lowest polymorph: 188 meV per atom
* total magnetization: 0.00 μB/f.u.
* total DFT energy (no corrections): -26.28 eV for the cell shown
* space group: R-3m (166)

Cell and atoms, written as POSCAR:
```
TaZn2W
1.0
9.4394 0.0007 0.0004
9.0150 2.7988 0.0004
9.0150 1.3676 2.4420
Ta W Zn
1 1 2
direct
0.2500 0.2500 0.2500 Ta
0.7500 0.7500 0.7500 W
0.0023 0.0023 0.0023 Zn
0.4977 0.4977 0.4977 Zn
```


(2)
The following is a PBE calculation of a relaxed P2AuBr crystal, from Alexandria.

* E above lowest polymorph: 0 meV per atom
* total magnetization: 0.00 μB/f.u.
* total DFT energy (no corrections): -15.32 eV for the cell shown
* space group: Cm (8)
* formation energy (no corrections): 43.0 kJ/mol of formula units

Cell and atoms, written as POSCAR:
```
P2AuBr
1.0
-1.6402 -2.2137 -4.5253
-0.0977 -4.4909 -2.8093
-5.8775 -1.4721 3.3298
Au Br P
1 1 2
direct
0.4805 0.4805 0.5591 Au
0.3054 0.3054 0.2926 Br
0.0406 0.0406 0.8630 P
0.6736 0.6736 0.7854 P
```


(3)
The following is a PBE calculation of a relaxed Dy3TmRu3 crystal, from Alexandria.

* E above lowest polymorph: 0 meV per atom
* total magnetization: 0.00 μB/f.u.
* total DFT energy (no corrections): -48.79 eV for the cell shown
* space group: R3m (160)

Cell and atoms, written as POSCAR:
```
Dy3TmRu3
1.0
5.4797 -0.0018 -1.9321
-2.7502 4.7546 -1.9461
0.0011 -0.0018 5.8103
Dy Tm Ru
3 1 3
direct
0.4138 0.0038 0.0000 Dy
0.5862 0.5900 0.5862 Dy
0.0000 0.0038 0.4138 Dy
0.0000 0.4186 0.0000 Tm
0.4995 0.5028 0.0000 Ru
0.5005 0.0033 0.5005 Ru
0.0000 0.5028 0.4995 Ru
```


(4)
The following is a PBE calculation of a relaxed Y6Ga2Hg crystal, from Alexandria.

* total magnetization: 0.00 μB/f.u.
* total DFT energy (no corrections): -98.28 eV for the cell shown
* space group: Immm (71)

Cell and atoms, written as POSCAR:
```
Y6Ga2Hg
1.0
8.0859 -0.0485 -3.0439
-4.2631 7.1349 -2.3601
-0.1781 0.0485 8.6381
Y Ga Hg
12 4 2
direct
0.5430 0.7243 0.8187 Y
0.4570 0.2757 0.1813 Y
0.0945 0.2757 0.8187 Y
0.9055 0.7243 0.1813 Y
0.8017 0.7549 0.5566 Y
0.1983 0.2451 0.4434 Y
0.1983 0.7549 0.9532 Y
0.8017 0.2451 0.0468 Y
0.7028 0.3799 0.6772 Y
0.2972 0.6201 0.3228 Y
0.2972 0.9744 0.6772 Y
0.7028 0.0256 0.3228 Y
0.5000 0.3788 0.8788 Ga
0.5000 0.6212 0.1212 Ga
0.6474 0.0000 0.6474 Ga
0.3526 0.0000 0.3526 Ga
0.0000 0.5000 0.5000 Hg
0.0000 0.0000 0.0000 Hg
```


(5)
The following is a PBE calculation of a relaxed DyErPt2 crystal, from Alexandria.

* E above lowest polymorph: 154 meV per atom
* total magnetization: 0.00 μB/f.u.
* total DFT energy (no corrections): -25.82 eV for the cell shown
* space group: R-3m (166)

Cell and atoms, written as POSCAR:
```
DyErPt2
1.0
4.0446 0.0000 0.0000
2.0223 3.5027 0.0000
2.0223 1.1676 6.6359
Dy Pt Er
1 2 1
direct
0.5000 0.5000 0.5000 Dy
0.7489 0.7489 0.7532 Pt
0.2511 0.2511 0.2468 Pt
0.0000 0.0000 0.0000 Er
```


(6)
The following is a PBE calculation of a relaxed Hf2AlP crystal, from Alexandria.

* E above lowest polymorph: 485 meV per atom
* total magnetization: 0.00 μB/f.u.
* total DFT energy (no corrections): -29.96 eV for the cell shown
* space group: R-3m (166)

Cell and atoms, written as POSCAR:
```
Hf2AlP
1.0
-3.3580 0.5820 -0.5627
-2.3410 -2.3678 0.9190
-2.5705 3.1093 7.9545
P Hf Al
1 2 1
direct
0.5000 0.5000 0.5000 P
0.1081 0.1081 0.6756 Hf
0.8919 0.8919 0.3244 Hf
0.0000 0.0000 0.0000 Al
```


(7)
The following is a PBE calculation of a relaxed ErMgGa2 crystal, from Alexandria.

* total magnetization: 0.00 μB/f.u.
* total DFT energy (no corrections): -13.69 eV for the cell shown
* space group: R-3m (166)

Cell and atoms, written as POSCAR:
```
ErMgGa2
1.0
-1.1883 1.3111 -4.1038
-2.0514 -2.8606 -2.7533
-5.4399 0.9455 -0.5561
Mg Ga Er
1 2 1
direct
0.5000 0.5000 0.5000 Mg
0.7738 0.7738 0.6786 Ga
0.2262 0.2262 0.3214 Ga
0.0000 0.0000 0.0000 Er
```


(8)
The following is a PBE calculation of a relaxed LiHgPd3 crystal, from Alexandria.

* E above lowest polymorph: 69 meV per atom
* total magnetization: 0.00 μB/f.u.
* total DFT energy (no corrections): -37.44 eV for the cell shown
* space group: P2_1/m (11)

Cell and atoms, written as POSCAR:
```
LiHgPd3
1.0
4.4405 0.0000 -1.3132
0.0000 5.0493 0.0000
0.2809 0.0000 7.3670
Li Hg Pd
2 2 6
direct
0.8650 0.7500 0.6787 Li
0.1350 0.2500 0.3213 Li
0.2927 0.2500 0.7195 Hg
0.7073 0.7500 0.2805 Hg
0.5444 0.2500 0.1079 Pd
0.6989 0.2500 0.4971 Pd
0.0000 0.0000 0.0000 Pd
0.4556 0.7500 0.8921 Pd
0.3011 0.7500 0.5029 Pd
0.0000 0.5000 0.0000 Pd
```


(9)
The following is a PBE calculation of a relaxed Zn2CdRu2 crystal, from Alexandria.

* E above lowest polymorph: 28 meV per atom
* total magnetization: 0.78 μB/f.u.
* total DFT energy (no corrections): -41.89 eV for the cell shown
* space group: P4/mbm (127)

Cell and atoms, written as POSCAR:
```
Zn2CdRu2
1.0
6.9420 0.0000 0.0000
0.0000 6.9420 0.0000
0.0000 0.0000 3.1924
Ru Zn Cd
4 4 2
direct
0.1664 0.6664 0.5000 Ru
0.6664 0.8336 0.5000 Ru
0.8336 0.3336 0.5000 Ru
0.3336 0.1664 0.5000 Ru
0.3710 0.8710 0.0000 Zn
0.8710 0.6290 0.0000 Zn
0.6290 0.1290 0.0000 Zn
0.1290 0.3710 0.0000 Zn
0.0000 0.0000 0.0000 Cd
0.5000 0.5000 0.0000 Cd
```


(10)
The following is a PBE calculation of a relaxed TbPdPtRh crystal, from Alexandria.

* total magnetization: 0.00 μB/f.u.
* total DFT energy (no corrections): -25.59 eV for the cell shown
* space group: F-43m (216)

Cell and atoms, written as POSCAR:
```
TbPdPtRh
1.0
4.6367 0.0000 0.0000
2.3184 4.0155 0.0000
2.3184 1.3385 3.7859
Rh Tb Pd Pt
1 1 1 1
direct
0.0000 0.0000 0.0000 Rh
0.7500 0.7500 0.7500 Tb
0.5000 0.5000 0.5000 Pd
0.2500 0.2500 0.2500 Pt
```


(11)
The following is a PBE calculation of a relaxed Y3AgW crystal, from Alexandria.

* E above lowest polymorph: 526 meV per atom
* total magnetization: 2.48 μB/f.u.
* total DFT energy (no corrections): -29.50 eV for the cell shown
* space group: Pm-3m (221)

Cell and atoms, written as POSCAR:
```
Y3AgW
1.0
-2.1792 -4.8520 -0.9236
0.5061 -1.2235 5.2336
-4.9131 2.0260 0.9488
Y Ag W
3 1 1
direct
0.0000 0.5000 0.0000 Y
0.0000 0.0000 0.5000 Y
0.5000 0.0000 0.0000 Y
0.0000 0.0000 0.0000 Ag
0.5000 0.5000 0.5000 W
```


(12)
The following is a PBE calculation of a relaxed SiOs2Au2 crystal, from Alexandria.

* total magnetization: 0.00 μB/f.u.
* total DFT energy (no corrections): -30.10 eV for the cell shown
* space group: I4/mmm (139)
* formation energy (no corrections): 418.8 kJ/mol of formula units

Cell and atoms, written as POSCAR:
```
SiOs2Au2
1.0
-0.7563 -5.8052 4.8238
-5.2242 -3.6180 4.1424
2.5296 3.1701 -6.4104
Si Os Au
1 2 2
direct
0.0000 0.0000 0.0000 Si
0.2500 0.7500 0.5000 Os
0.7500 0.2500 0.5000 Os
0.5948 0.5948 0.0000 Au
0.4052 0.4052 0.0000 Au
```


(13)
The following is a PBE calculation of a relaxed Ba3NdPt2O9 crystal, from Alexandria.

* total magnetization: 0.59 μB/f.u.
* total DFT energy (no corrections): -95.49 eV for the cell shown
* space group: P-3m1 (164)
* formation energy (no corrections): -2725.3 kJ/mol of formula units

Cell and atoms, written as POSCAR:
```
Ba3NdPt2O9
1.0
-5.6504 0.6685 1.7839
3.5892 -3.8251 2.8360
2.1012 5.4044 4.6302
Ba Nd Pt O
3 1 2 9
direct
0.3333 0.6667 0.6906 Ba
0.0000 0.0000 0.0000 Ba
0.6667 0.3333 0.3094 Ba
0.0000 0.0000 0.5000 Nd
0.3333 0.6667 0.1599 Pt
0.6667 0.3333 0.8401 Pt
0.8225 0.1775 0.6851 O
0.8225 0.6451 0.6851 O
0.3549 0.1775 0.6851 O
0.6451 0.8225 0.3149 O
0.1775 0.3549 0.3149 O
0.1775 0.8225 0.3149 O
0.5000 0.0000 0.0000 O
0.0000 0.5000 0.0000 O
0.5000 0.5000 0.0000 O
```


(14)
The following is a PBE calculation of a relaxed Tm3ScCo crystal, from Alexandria.

* E above lowest polymorph: 159 meV per atom
* total magnetization: 0.01 μB/f.u.
* total DFT energy (no corrections): -26.71 eV for the cell shown
* space group: Pm-3m (221)

Cell and atoms, written as POSCAR:
```
Tm3ScCo
1.0
-0.3391 -3.5789 -3.6779
-1.2707 -3.5126 3.5352
-4.9720 1.1418 -0.6526
Sc Tm Co
1 3 1
direct
0.5000 0.5000 0.5000 Sc
0.0000 0.5000 0.0000 Tm
0.0000 0.0000 0.5000 Tm
0.5000 0.0000 0.0000 Tm
0.0000 0.0000 0.0000 Co
```


(15)
The following is a PBE calculation of a relaxed TmHf2Zn9 crystal, from Alexandria.

* total magnetization: 1.48 μB/f.u.
* total DFT energy (no corrections): -38.74 eV for the cell shown
* space group: R-3m (166)

Cell and atoms, written as POSCAR:
```
TmHf2Zn9
1.0
5.0422 0.0000 1.5006
2.2978 4.4882 1.5006
0.1067 0.0653 8.8627
Tm Hf Zn
1 2 9
direct
0.0000 0.0000 0.0000 Tm
0.8562 0.8562 0.4313 Hf
0.1438 0.1438 0.5687 Hf
0.6647 0.6647 0.0059 Zn
0.3353 0.3353 0.9941 Zn
0.5000 0.5000 0.5000 Zn
0.4105 0.4105 0.2564 Zn
0.9225 0.4105 0.2564 Zn
0.4105 0.9225 0.2564 Zn
0.5895 0.5895 0.7436 Zn
0.5895 0.0775 0.7436 Zn
0.0775 0.5895 0.7436 Zn
```


(16)
The following is a PBE calculation of a relaxed DyHo2Pt3 crystal, from Alexandria.

* total magnetization: 0.00 μB/f.u.
* total DFT energy (no corrections): -78.62 eV for the cell shown
* space group: Pmmn (59)

Cell and atoms, written as POSCAR:
```
DyHo2Pt3
1.0
-0.7402 2.2617 -2.4965
1.7726 -3.1501 -3.3794
-13.4936 -6.0273 -1.4597
Dy Ho Pt
2 4 6
direct
0.0007 0.5000 0.5000 Dy
0.9993 0.0000 0.0000 Dy
0.0003 0.0000 0.6667 Ho
0.0003 0.0000 0.3333 Ho
0.9997 0.5000 0.1667 Ho
0.9997 0.5000 0.8333 Ho
0.4998 0.5000 0.6678 Pt
0.5013 0.0000 0.5000 Pt
0.4998 0.5000 0.3322 Pt
0.5002 0.0000 0.1678 Pt
0.4987 0.5000 0.0000 Pt
0.5002 0.0000 0.8322 Pt
```


(17)
The following is a PBE calculation of a relaxed CaTlOs2 crystal, from Alexandria.

* E above lowest polymorph: 658 meV per atom
* total magnetization: 0.00 μB/f.u.
* total DFT energy (no corrections): -23.01 eV for the cell shown
* space group: Cmmm (65)

Cell and atoms, written as POSCAR:
```
CaTlOs2
1.0
-2.9683 -3.0498 2.9899
2.8779 -2.6785 -3.4051
2.2143 -0.1809 2.0138
Tl Os Ca
1 2 1
direct
0.5000 0.0000 0.5000 Tl
0.0000 0.0000 0.0000 Os
0.5000 0.5000 0.0000 Os
0.0000 0.5000 0.5000 Ca
```


(18)
The following is a PBE calculation of a relaxed TmZn3Ir crystal, from Alexandria.

* total magnetization: 0.00 μB/f.u.
* total DFT energy (no corrections): -18.62 eV for the cell shown
* space group: Amm2 (38)

Cell and atoms, written as POSCAR:
```
TmZn3Ir
1.0
4.2874 0.0000 0.0000
0.0000 7.3216 0.0000
0.0000 -3.6608 3.1257
Tm Zn Ir
1 3 1
direct
0.5000 0.8806 0.7611 Tm
0.0000 0.0589 0.4929 Zn
0.0000 0.4340 0.4929 Zn
0.5000 0.3810 0.7620 Zn
0.0000 0.6002 0.2003 Ir
```


(19)
The following is a PBE calculation of a relaxed NpZnNi4H8 crystal, from Alexandria.

* total magnetization: 4.36 μB/f.u.
* total DFT energy (no corrections): -63.20 eV for the cell shown
* space group: R3m (160)

Cell and atoms, written as POSCAR:
```
NpZnNi4H8
1.0
-1.3197 -3.8182 -2.9338
3.1815 -1.7187 -3.4427
2.7423 -5.4795 1.6493
Np Zn Ni H
1 1 4 8
direct
0.9977 0.9977 0.0068 Np
0.3800 0.3800 0.8601 Zn
0.6113 0.6113 0.1660 Ni
0.0029 0.5012 0.4929 Ni
0.5012 0.0029 0.4929 Ni
0.0029 0.0029 0.4929 Ni
0.2623 0.8037 0.6717 H
0.8037 0.2623 0.6717 H
0.2623 0.2623 0.6717 H
0.2212 0.2212 0.3365 H
0.7223 0.2268 0.3286 H
0.2268 0.7223 0.3286 H
0.7223 0.7223 0.3286 H
0.7831 0.7831 0.6506 H
```


(20)
The following is a PBE calculation of a relaxed V4Rh2N crystal, from Alexandria.

* E above lowest polymorph: 186 meV per atom
* total magnetization: 1.08 μB/f.u.
* total DFT energy (no corrections): -61.94 eV for the cell shown
* space group: I4/mmm (139)
* formation energy (no corrections): -234.9 kJ/mol of formula units

Cell and atoms, written as POSCAR:
```
V4Rh2N
1.0
-1.4124 -0.9466 -3.5193
1.1997 -3.6848 0.5097
-5.5107 -3.7229 1.0426
N Rh V
1 2 4
direct
0.0000 0.0000 0.0000 N
0.6464 0.6464 0.7072 Rh
0.3536 0.3536 0.2928 Rh
0.8331 0.8331 0.3337 V
0.1669 0.1669 0.6663 V
0.0000 0.5000 0.0000 V
0.5000 0.0000 0.0000 V
```


(21)
The following is a PBE calculation of a relaxed LaRhS2Cl crystal, from Alexandria.

* E above lowest polymorph: 976 meV per atom
* total magnetization: 2.76 μB/f.u.
* total DFT energy (no corrections): -22.77 eV for the cell shown
* space group: P4/mmm (123)
* formation energy (no corrections): -37.3 kJ/mol of formula units

Cell and atoms, written as POSCAR:
```
LaRhS2Cl
1.0
5.5354 0.0000 0.0000
0.0000 5.5354 0.0000
0.0000 0.0000 5.4047
S Cl Rh La
2 1 1 1
direct
0.0000 0.5000 0.0000 S
0.5000 0.0000 0.0000 S
0.0000 0.0000 0.5000 Cl
0.5000 0.5000 0.5000 Rh
0.0000 0.0000 0.0000 La
```


(22)
The following is a PBE calculation of a relaxed BeHg2Br crystal, from Alexandria.

* E above lowest polymorph: 503 meV per atom
* total magnetization: 0.00 μB/f.u.
* total DFT energy (no corrections): -4.26 eV for the cell shown
* space group: P4/mmm (123)
* formation energy (no corrections): 168.6 kJ/mol of formula units

Cell and atoms, written as POSCAR:
```
BeHg2Br
1.0
6.4241 0.0000 0.0000
0.0000 4.0400 0.0000
0.0000 0.0000 4.0400
Be Hg Br
1 2 1
direct
0.5000 0.5000 0.0000 Be
0.0000 0.0000 0.0000 Hg
0.0000 0.5000 0.5000 Hg
0.5000 0.0000 0.5000 Br
```


(23)
The following is a PBE calculation of a relaxed ScZn2Sb crystal, from Alexandria.

* total magnetization: 0.00 μB/f.u.
* total DFT energy (no corrections): -13.95 eV for the cell shown
* space group: Pm (6)
* formation energy (no corrections): -91.7 kJ/mol of formula units

Cell and atoms, written as POSCAR:
```
ScZn2Sb
1.0
4.3059 0.0000 0.0000
0.0000 3.1897 -0.0345
0.0000 0.0605 6.0220
Sb Sc Zn
1 1 2
direct
0.0000 0.2495 0.5233 Sb
0.5000 0.7509 0.7736 Sc
0.0000 0.2560 0.9988 Zn
0.5000 0.2435 0.2044 Zn
```


(24)
The following is a PBE calculation of a relaxed Ac4IrSCl2 crystal, from Alexandria.

* total magnetization: 0.00 μB/f.u.
* total DFT energy (no corrections): -44.69 eV for the cell shown
* space group: P2/m (10)
* formation energy (no corrections): -1116.9 kJ/mol of formula units

Cell and atoms, written as POSCAR:
```
Ac4IrSCl2
1.0
-0.7873 0.8600 -4.1009
4.6949 -5.8891 -2.1363
-7.3924 -2.8215 0.8276
Ac Ir S Cl
4 1 1 2
direct
0.5000 0.2453 0.2193 Ac
0.5000 0.7547 0.7807 Ac
0.0000 0.2778 0.7876 Ac
0.0000 0.7222 0.2124 Ac
0.5000 0.5000 0.0000 Ir
0.0000 0.0000 0.0000 S
0.5000 0.0000 0.5000 Cl
0.0000 0.5000 0.5000 Cl
```


(25)
The following is a PBE calculation of a relaxed Al2CdTe crystal, from Alexandria.

* E above lowest polymorph: 252 meV per atom
* total magnetization: 0.00 μB/f.u.
* total DFT energy (no corrections): -10.42 eV for the cell shown
* space group: Cmmm (65)
* formation energy (no corrections): 107.8 kJ/mol of formula units

Cell and atoms, written as POSCAR:
```
Al2CdTe
1.0
-1.5583 -1.3741 -2.3752
2.9758 0.7676 -0.7168
3.0662 -8.9373 3.1588
Te Al Cd
1 2 1
direct
0.5000 0.5000 0.7500 Te
0.0000 0.0000 0.0038 Al
0.0000 0.0000 0.4962 Al
0.5000 0.5000 0.2500 Cd
```


(26)
The following is a PBE calculation of a relaxed CaMg2Pb3 crystal, from Alexandria.

* E above lowest polymorph: 31 meV per atom
* total magnetization: 0.00 μB/f.u.
* total DFT energy (no corrections): -17.47 eV for the cell shown
* space group: P4/mmm (123)

Cell and atoms, written as POSCAR:
```
CaMg2Pb3
1.0
3.7207 0.0000 0.0000
0.0000 3.7207 0.0000
0.0000 0.0000 11.9594
Ca Mg Pb
1 2 3
direct
0.5000 0.5000 0.5000 Ca
0.5000 0.5000 0.8387 Mg
0.5000 0.5000 0.1613 Mg
0.0000 0.0000 0.0000 Pb
0.0000 0.0000 0.6883 Pb
0.0000 0.0000 0.3117 Pb
```